Density functional theory data (PBE with a Hubbard U) for a geometry-optimized MnAg5F8 structure.

Unit cell a=7.0300 b=7.0300 c=8.1623 alpha=90.00 beta=90.00 gamma=90.00
Closest atoms and distances in Å follow each position.
Space group I-4 (No. 82)
One atom of each set of equivalent atoms:
Mn: 0.0000 0.0000 0.0000 [2 per cell]  4 F 2.09
Ag: 0.0000 0.5000 0.7500 [2 per cell]  4 F 2.20
Ag: 0.0519 0.7556 0.3862 [8 per cell]  4 F 2.36-2.47
F: 0.0334 0.7129 0.0624 [8 per cell]  1 Mn 2.09
F: 0.0372 0.8091 0.7262 [8 per cell]  3 Ag 2.20-2.42

Output
* total magnetization: 5.7 μB/f.u.
* E: -3.975 eV per atom